Crystalline Ce4Sn3 at its relaxed geometry, computed with PBE-GGA.

magnetic moment = 4.04 μB per formula unit
space group = I-43d (220)
E_tot = -5.659 eV per atom
ΔE_f = -552.6 meV per atom

Cell: 8.2242 8.2242 8.2242 Å, 109.47 109.47 109.47°
Positions (direct):
Sn  0.3750  0.1250  0.7500
Ce  0.5000  0.8508  0.5000
Sn  0.8750  0.2500  0.6250
Sn  0.7500  0.6250  0.3750
Sn  0.6250  0.7500  0.8750
Ce  0.0000  0.0000  0.8508
Ce  0.1492  0.6492  0.6492
Ce  0.5000  0.3508  0.5000
Sn  0.2500  0.8750  0.1250
Ce  0.3508  0.5000  0.0000
Ce  0.6492  0.1492  0.1492
Sn  0.1250  0.3750  0.2500
Ce  0.0000  0.0000  0.3508
Ce  0.8508  0.5000  0.0000

=====

Crystalline RuSe7 at its relaxed geometry, computed with PBE-GGA.

magnetic moment = 0.00 μB per formula unit
space group = Fm-3m (225)
uncorrected formation energy = 806 meV per atom
E_tot = -3.402 eV per atom

Cell: 6.0149 6.0149 6.0149 Å, 60.00 60.00 60.00°
Positions (direct):
Se  0.5000  0.0000  0.0000
Se  0.0000  0.5000  0.5000
Se  0.5000  0.5000  0.5000
Se  0.0000  0.0000  0.5000
Se  0.5000  0.5000  0.0000
Se  0.5000  0.0000  0.5000
Ru  0.0000  0.0000  0.0000
Se  0.0000  0.5000  0.0000

=====

Crystalline PaSnMo at its relaxed geometry, computed with PBE-GGA.

magnetic moment = 0.00 μB per formula unit
space group = Amm2 (38)
E_tot = -8.089 eV per atom
ΔE_f = 21.2 meV per atom

Cell: 3.8531 3.8558 6.4711 Å, 126.56 107.32 90.00°
Positions (direct):
Sn  0.6682  0.8365  0.3365
Mo  0.3859  0.2718  0.7718
Pa  0.9459  0.8917  0.8918

=====

Crystalline Ti7Ir2Pd3 at its relaxed geometry, computed with PBE-GGA.

magnetic moment = 0.00 μB per formula unit
space group = Cmmm (65)
E_tot = -7.665 eV per atom
ΔE_f = -284.2 meV per atom

Cell: 4.5022 4.3930 10.6213 Å, 101.93 90.00 90.00°
Positions (direct):
Ti  0.5000  0.0850  0.1699
Pd  0.5000  0.3425  0.6850
Ti  0.0000  0.0000  0.0000
Ti  0.0000  0.4267  0.8534
Ti  0.5000  0.9150  0.8301
Pd  0.5000  0.5000  0.0000
Ir  0.0000  0.8532  0.7065
Ti  0.0000  0.5733  0.1466
Ti  0.0000  0.2849  0.5699
Ti  0.0000  0.7151  0.4301
Pd  0.5000  0.6575  0.3150
Ir  0.0000  0.1468  0.2935

=====

- Look up the E_tot of the second one.
  -3.402 eV per atom

=====

- Which of these has the lowest E_tot?
  PaSnMo